KCdC, optimized geometry, DFT GGA-PBE; ΔH_f (0 K) = 1078.4 meV per atom; final energy = -2.667 eV/atom
1.0
3.9033 0.0000 0.0000
-1.9516 3.3803 0.0000
0.0000 0.0000 5.2151
Cd C K
1 1 1
Direct
0.3333 0.6667 0.5000 Cd
0.0000 0.0000 0.5000 C
0.6667 0.3333 0.0000 K



KCdC, optimized geometry, DFT GGA-PBE; ΔH_f (0 K) = 288.7 meV per atom; final energy = -3.457 eV/atom
1.0
-0.5606 2.3402 -3.6993
3.1247 -1.7834 -1.6018
-11.0899 -13.3527 -6.7666
Cd C K
4 4 4
Direct
0.5000 0.0000 0.8065 Cd
0.0000 0.5000 0.8633 Cd
0.5000 0.5000 0.3065 Cd
0.0000 0.0000 0.3633 Cd
0.5000 0.5000 0.1840 C
0.5000 0.5000 0.1163 C
0.5000 0.0000 0.6163 C
0.5000 0.0000 0.6840 C
0.0000 0.5000 0.6689 K
0.5000 0.5000 0.4995 K
0.0000 0.0000 0.1689 K
0.5000 0.0000 0.9995 K



KCdC, optimized geometry, DFT GGA-PBE; ΔH_f (0 K) = 1101.3 meV per atom; final energy = -2.644 eV/atom
1.0
-0.4391 -3.0816 2.3621
3.5703 1.0675 -1.1757
1.3518 9.7169 12.9282
K C Cd
3 3 3
Direct
0.6667 0.3333 0.9668 K
0.0000 0.0000 0.6335 K
0.3333 0.6667 0.3001 K
0.6667 0.3333 0.7756 C
0.0000 0.0000 0.4423 C
0.3333 0.6667 0.1090 C
0.3333 0.6667 0.7896 Cd
0.0000 0.0000 0.1229 Cd
0.6667 0.3333 0.4562 Cd



KCdMo2C, optimized geometry, DFT GGA-PBE; ΔH_f (0 K) = 912.1 meV per atom; final energy = -5.668 eV/atom
1.0
4.2002 0.0000 0.0000
0.0000 5.3164 0.0000
0.0000 0.0000 4.2002
K Cd C Mo
1 1 1 2
Direct
0.0000 0.5000 0.0000 K
0.5000 0.5000 0.5000 Cd
0.0000 0.0000 0.0000 C
0.5000 0.0000 0.0000 Mo
0.0000 0.0000 0.5000 Mo



KCdC3N3O3, optimized geometry, DFT GGA-PBE; raw formation energy = -70 kJ per mole of atoms; final energy = -7.044 eV/atom
1.0
-1.4023 -2.4311 -2.5267
4.7444 -7.7061 4.7813
-14.9237 -2.5355 10.7221
C O N K Cd
12 12 12 4 4
Direct
0.2500 0.1483 0.7884 C
0.2500 0.1394 0.5302 C
0.2500 0.5816 0.3762 C
0.7500 0.3517 0.2884 C
0.2500 0.6394 0.9698 C
0.7500 0.4184 0.6238 C
0.7500 0.8517 0.2116 C
0.2500 0.0816 0.1238 C
0.7500 0.9184 0.8762 C
0.2500 0.6483 0.7116 C
0.7500 0.8606 0.4698 C
0.7500 0.3606 0.0302 C
0.7500 0.4156 0.2336 O
0.7500 0.9562 0.4318 O
0.2500 0.0438 0.5682 O
0.2500 0.6389 0.3200 O
0.7500 0.8611 0.8200 O
0.7500 0.9156 0.2664 O
0.2500 0.5844 0.7664 O
0.7500 0.4562 0.0682 O
0.2500 0.5438 0.9318 O
0.2500 0.0844 0.7336 O
0.2500 0.1389 0.1800 O
0.7500 0.3611 0.6800 O
0.2500 0.5220 0.4331 N
0.7500 0.7654 0.5083 N
0.2500 0.7147 0.6579 N
0.7500 0.7853 0.1579 N
0.2500 0.0220 0.0669 N
0.7500 0.2654 0.9917 N
0.2500 0.7346 0.0083 N
0.2500 0.2147 0.8421 N
0.7500 0.9780 0.9331 N
0.2500 0.2346 0.4917 N
0.7500 0.2853 0.3421 N
0.7500 0.4780 0.5669 N
0.2500 0.5713 0.1649 K
0.2500 0.0713 0.3351 K
0.7500 0.9287 0.6649 K
0.7500 0.4287 0.8351 K
0.7500 0.3614 0.4568 Cd
0.7500 0.8614 0.0432 Cd
0.2500 0.1386 0.9568 Cd
0.2500 0.6386 0.5432 Cd



KNbCdC2, optimized geometry, DFT GGA-PBE; ΔH_f (0 K) = 3034.3 meV per atom; final energy = -3.072 eV/atom
1.0
4.4239 0.0000 0.0000
0.0000 5.0529 0.0000
0.0000 0.0000 4.4239
C Nb Cd K
2 1 1 1
Direct
0.5000 0.0000 0.0000 C
0.0000 0.0000 0.5000 C
0.5000 0.5000 0.5000 Nb
0.0000 0.0000 0.0000 Cd
0.0000 0.5000 0.0000 K



KCdC2O6, optimized geometry, DFT GGA-PBE; raw formation energy = -132 kJ per mole of atoms; final energy = -6.390 eV/atom
1.0
6.7104 0.1171 0.0973
-0.7053 6.6743 0.0973
-1.6384 -1.8529 6.4844
K O C Cd
2 12 4 2
Direct
0.1110 0.8890 0.2500 K
0.8890 0.1110 0.7500 K
0.2726 0.3217 0.7561 O
0.4392 0.7939 0.0983 O
0.2925 0.9879 0.6795 O
0.7939 0.4392 0.5983 O
0.5608 0.2061 0.9017 O
0.9879 0.2925 0.1795 O
0.3217 0.2726 0.2561 O
0.7075 0.0121 0.3205 O
0.2061 0.5608 0.4017 O
0.0121 0.7075 0.8205 O
0.7274 0.6783 0.2439 O
0.6783 0.7274 0.7439 O
0.3779 0.1733 0.7812 C
0.6221 0.8267 0.2188 C
0.8267 0.6221 0.7188 C
0.1733 0.3779 0.2812 C
0.6618 0.3382 0.2500 Cd
0.3382 0.6618 0.7500 Cd



K2CdCO4, optimized geometry, DFT GGA-PBE; raw formation energy = -113 kJ per mole of atoms; final energy = -5.189 eV/atom
1.0
-1.1399 1.4479 -4.9539
-1.1752 -4.4419 -3.8476
-10.9868 1.2664 0.0786
C K Cd O
2 4 2 8
Direct
0.2500 0.5000 0.5000 C
0.5000 0.0000 0.0000 C
0.1838 0.0000 0.6325 K
0.8162 0.0000 0.3675 K
0.9338 0.5000 0.1325 K
0.5662 0.5000 0.8675 K
0.0000 0.0000 0.0000 Cd
0.7500 0.5000 0.5000 Cd
0.7716 0.8431 0.9245 O
0.4460 0.3431 0.5755 O
0.2109 0.3431 0.4245 O
0.3040 0.1569 0.9245 O
0.5391 0.1569 0.0755 O
0.3853 0.8431 0.0755 O
0.3647 0.6569 0.4245 O
0.9784 0.6569 0.5755 O